No. 1
Compound: KLiTl2
Source: Alexandria via LeMat-Bulk
Functional: PBE
Structure: relaxed

## Properties
As for the excess energy over the best structure of this formula in the dataset: 100.3 meV per atom. The calculation puts the total magnetization at 0.00 Bohr magnetons per cell. The symmetry is R3m (160). The value obtained for the calculated volume is 130.54 Å³/cell. The formation energy is -0.03 eV/atom.

Structure (POSCAR):
```
KLiTl2
1.0
-2.013 0.329 3.745
-1.937 -3.405 1.686
5.684 -3.057 5.753
K Tl Li
1 2 1
Direct
0.499 0.499 0.504 K
0.277 0.277 0.170 Tl
0.056 0.056 0.831 Tl
0.668 0.668 0.995 Li
```

No. 2
Compound: SrBe2In
Source: Alexandria via LeMat-Bulk
Functional: PBE
Structure: relaxed

## Properties
The calculation puts the total magnetization at 0.00 Bohr magnetons per cell. The symmetry is P4/mmm (123). The value obtained for the calculated volume is 85.96 Å³/cell. The formation energy is 0.60 eV/atom.

Structure (POSCAR):
```
SrBe2In
1.0
-3.539 -0.501 -2.990
-2.581 -1.912 3.376
-1.350 3.585 0.998
Be Sr In
2 1 1
Direct
0.000 0.000 0.000 Be
0.500 0.500 0.000 Be
0.000 0.500 0.500 Sr
0.500 0.000 0.500 In
```

No. 3
Compound: Th3As2N
Source: Alexandria via LeMat-Bulk
Functional: PBE
Structure: relaxed

## Properties
The calculation puts the total magnetization at 0.00 Bohr magnetons per cell. The symmetry is Cmcm (63). The value obtained for the calculated volume is 287.88 Å³/cell. The calculation puts the total DFT energy (no corrections) at -7.73 eV/atom.

Structure (POSCAR):
```
Th3As2N
1.0
-0.547 6.240 -1.285
-2.322 -1.486 -6.229
-5.628 0.294 3.826
Th As N
6 4 2
Direct
0.750 0.643 0.643 Th
0.000 0.831 0.169 Th
0.250 0.357 0.357 Th
0.500 0.169 0.831 Th
0.000 0.169 0.831 Th
0.500 0.831 0.169 Th
0.250 0.826 0.548 As
0.250 0.548 0.826 As
0.750 0.452 0.174 As
0.750 0.174 0.452 As
0.750 0.916 0.916 N
0.250 0.084 0.084 N
```

Number 1: DOS(E_F) 1.462 states/eV/cell. Number 2: DOS(E_F) 3.156 states/eV/cell. Number 3: DOS(E_F) 8.556 states/eV/cell.